Entry from Alexandria: a relaxed KTaCd2 crystal (PBE-GGA).

Lattice parameters (Å, degrees): 2.976 2.976 10.944 90.00 90.00 90.00
Last column: magnetic moment on the atom in μB.
Positions (direct):
K1 0.000 0.000 0.498  0.01
Cd1 0.500 0.500 0.223  0.00
Cd2 0.000 0.000 0.991  0.00
Ta1 0.500 0.500 0.789  0.06

Results
E above lowest polymorph (kJ/mol of formula units): 65.1
Symmetry: P4mm (99)
Calculated formation energy (eV/atom): 0.56
Calculated volume (A^3/atom): 24.2
Magnetic moment (μB per cell): 0.16